## Zr5In (PBE-GGA)

Data for a relaxed Zr5In crystal.

Cell: 4.469 13.729 4.460 Å, 90.00 90.00 90.00°
Space group Cmmm (No. 65)
Inequivalent atoms, fractional coordinates:
Zr: 0.000 0.000 0.000 x2
Zr: 0.000 0.166 0.500 x4
Zr: 0.000 0.334 0.000 x4
In: 0.000 0.500 0.500 x2

Calculated values
E_tot, eV per cell: -92.628

=====

## TbNd2Pt (PBE-GGA)

Data for a relaxed TbNd2Pt crystal.

Cell: 3.9949 3.9949 27.8989 Å, 90.00 90.00 120.00°
Space group R3m (No. 160, hexagonal axes)
Inequivalent atoms, fractional coordinates:
Tb: 0.0000 0.0000 0.0000 x3
Nd: 0.0000 0.0000 0.5619 x3
Nd: 0.0000 0.0000 0.7700 x3
Pt: 0.0000 0.0000 0.1655 x3

Calculated values
ΔE to the lowest computed polymorph, eV/atom: 0.213

=====

## ErSc3S (PBE-GGA)

Data for a relaxed ErSc3S crystal.

Cell: 4.966 4.966 4.966 Å, 90.00 90.00 90.00°
Space group Pm-3m (No. 221)
Inequivalent atoms, fractional coordinates:
Er: 0.000 0.000 0.000 x1
Sc: 0.000 0.500 0.500 x3
S: 0.500 0.500 0.500 x1

Calculated values
E_form (uncorrected), eV per atom: -0.603

=====

## KCrSe3 (PBE-GGA)

Data for a relaxed KCrSe3 crystal.

Cell: 5.759 5.759 5.759 Å, 90.00 90.00 90.00°
Space group Pm-3m (No. 221)
Inequivalent atoms, fractional coordinates:
K: 0.000 0.000 0.000 x1
Cr: 0.500 0.500 0.500 x1
Se: 0.000 0.000 0.500 x3

Calculated values
ΔE to the lowest computed polymorph, eV/atom: 1.734
E_form (uncorrected), eV per atom: 1.132

=====

## Th2TlOsAu (PBE-GGA)

Data for a relaxed Th2TlOsAu crystal.

Cell: 6.978 4.140 9.208 Å, 90.00 102.41 90.00°
Space group P2_1/m (No. 11)
Inequivalent atoms, fractional coordinates:
Th: 0.205 0.250 0.461 x2
Th: 0.289 0.750 0.818 x2
Tl: 0.169 0.250 0.079 x2
Os: 0.010 0.250 0.723 x2
Au: 0.420 0.750 0.273 x2

Calculated values
E_tot, eV per cell: -66.951

=====

## Mn2CrH (PBE-GGA)

Data for a relaxed Mn2CrH crystal.

Cell: 5.365 5.365 5.365 Å, 90.00 90.00 90.00°
Space group Fm-3m (No. 225)
Inequivalent atoms, fractional coordinates:
Mn: 0.250 0.250 0.250 x8
Cr: 0.000 0.000 0.000 x4
H: 0.000 0.000 0.500 x4

Calculated values
ΔE to the lowest computed polymorph, eV/atom: 0.587

=====

## ThSCl (PBE-GGA)

Data for a relaxed ThSCl crystal.

Cell: 6.727 6.727 6.727 Å, 90.00 90.00 90.00°
Space group F-43m (No. 216)
Inequivalent atoms, fractional coordinates:
Th: 0.000 0.000 0.000 x4
S: 0.250 0.250 0.750 x4
Cl: 0.250 0.250 0.250 x4

Calculated values
E_form (uncorrected), eV per atom: -1.686

=====

## Y7Te2Pb2 (PBE-GGA)

Data for a relaxed Y7Te2Pb2 crystal.

Cell: 9.086 11.029 7.040 Å, 90.00 90.00 90.00°
Space group Cmmm (No. 65)
Inequivalent atoms, fractional coordinates:
Y: 0.000 0.000 0.000 x2
Y: 0.000 0.500 0.260 x4
Y: 0.250 0.250 0.270 x8
Te: 0.000 0.276 0.000 x4
Pb: 0.186 0.000 0.500 x4

Calculated values
E_form (uncorrected), eV per atom: -0.411

=====

Calculated density: 6.9; 8.3; 4.5; 2.9; 13.5; 7.0; 6.5; 6.1 (Mg/m³)